The following is a DFT calculation (GGA+U) of HgMoBrO2 after structural relaxation.

Results
E_tot   -2.9142 eV per atom
Crystal system   tetragonal

Cell: 4.1008 6.0070 4.1008 Å, 90.00 90.00 90.00°
Each line ends with the local moment (μB).
Positions (direct):
O 0.0000 0.0000 0.5000  0.04
O 0.5000 0.0000 0.0000  0.04
Mo 0.5000 0.5000 0.5000  4.02
Hg 0.0000 0.5000 0.0000  0.08
Br 0.0000 0.0000 0.0000  0.02